SrNb3Bi: relaxed, PBE.

abc: 5.302 5.302 5.302
angles: 90.00 90.00 90.00
Sites, in units of the cell vectors:
Bi (0.000, 0.000, 0.000)
Nb (0.000, 0.000, 0.500)
Nb (0.000, 0.500, 0.000)
Nb (0.500, 0.000, 0.000)
Sr (0.500, 0.500, 0.500)

Results
E_tot, eV/cell: -28.28
Polymorph energy (0 for the lowest one), meV per atom: 0